# 1
NaTe12Au7: relaxed, GGA-PBE.

Structure (POSCAR):
```
NaTe12Au7
1.0
8.9504 -0.0776 -0.1165
-2.5633 8.5759 -0.1165
-2.5633 -3.4106 7.8694
Te Na Au
12 1 7
direct
0.0142 0.3062 0.7838 Te
0.9858 0.6938 0.2162 Te
0.3062 0.7838 0.0142 Te
0.2162 0.9858 0.6938 Te
0.3780 0.4396 0.1474 Te
0.6938 0.2162 0.9858 Te
0.8526 0.6220 0.5604 Te
0.1474 0.3780 0.4396 Te
0.5604 0.8526 0.6220 Te
0.4396 0.1474 0.3780 Te
0.7838 0.0142 0.3062 Te
0.6220 0.5604 0.8526 Te
0.0000 0.0000 0.0000 Na
0.6358 0.8870 0.9521 Au
0.0479 0.3642 0.1130 Au
0.8870 0.9521 0.6358 Au
0.3642 0.1130 0.0479 Au
0.1130 0.0479 0.3642 Au
0.9521 0.6358 0.8870 Au
0.5000 0.5000 0.5000 Au
```

Summary:
- Total energy: -62.583 eV per formula unit
- Space-group type: R-3, No. 148

# 2
NaTe4Au: relaxed, GGA-PBE.

Structure (POSCAR):
```
NaTe4Au
1.0
4.3781 0.0000 -1.7173
-2.2132 4.8956 -5.6423
3.4805 1.0479 15.3124
Te Na Au
8 2 2
direct
0.6337 0.7879 0.8166 Te
0.3663 0.2121 0.1834 Te
0.8170 0.7121 0.1833 Te
0.1830 0.2879 0.8167 Te
0.7049 0.9101 0.6369 Te
0.0680 0.5899 0.3631 Te
0.2951 0.0899 0.3631 Te
0.9320 0.4101 0.6369 Te
0.8528 0.7500 0.0000 Na
0.1472 0.2500 0.0000 Na
0.0000 0.5000 0.5000 Au
0.5000 0.0000 0.5000 Au
```

Summary:
- Energy above the lowest structure with this stoichiometry: 0.03 eV per formula unit
- Total energy: -18.211 eV per formula unit
- Space-group type: C2/c, No. 15

# 3
Na3Te3Au2: relaxed, GGA-PBE.

Structure (POSCAR):
```
Na3Te3Au2
1.0
-1.8453 -4.0492 -0.5322
5.7780 0.0998 -1.9243
5.7747 -4.8775 17.0868
Na Te Au
6 6 4
direct
0.8942 0.7884 0.1038 Na
0.8942 0.7884 0.3962 Na
0.1058 0.2116 0.8962 Na
0.3774 0.7547 0.7500 Na
0.6226 0.2453 0.2500 Na
0.1058 0.2116 0.6038 Na
0.6609 0.3218 0.7500 Te
0.3906 0.7812 0.5713 Te
0.3906 0.7812 0.9287 Te
0.3391 0.6782 0.2500 Te
0.6094 0.2188 0.0713 Te
0.6094 0.2188 0.4287 Te
0.1898 0.3796 0.3627 Au
0.1898 0.3796 0.1373 Au
0.8102 0.6204 0.6373 Au
0.8102 0.6204 0.8627 Au
```

Summary:
- Total energy: -24.275 eV per formula unit
- Space-group type: Cmcm, No. 63

# 4
NaTeAu: relaxed, GGA-PBE.

Structure (POSCAR):
```
NaTeAu
1.0
-3.3823 1.2186 -3.0366
3.7681 -2.3828 -1.5067
-4.0824 -7.4426 1.5604
Au Na Te
2 2 2
direct
0.6667 0.3333 0.7500 Au
0.3333 0.6667 0.2500 Au
0.0000 0.0000 0.0000 Na
0.0000 0.0000 0.5000 Na
0.3333 0.6667 0.7500 Te
0.6667 0.3333 0.2500 Te
```

Summary:
- Total energy: -9.337 eV per formula unit
- Space-group type: P6_3/mmc, No. 194

# 5
NaTe4Au2: relaxed, GGA-PBE.

Structure (POSCAR):
```
NaTe4Au2
1.0
6.1437 -0.5980 0.0478
-1.0371 8.1834 0.0053
-2.6429 -3.8425 9.1378
Te Na Au
8 2 4
direct
0.9715 0.1870 0.3468 Te
0.4564 0.6967 0.7887 Te
0.7526 0.0879 0.7133 Te
0.9181 0.6587 0.7128 Te
0.3812 0.0720 0.2748 Te
0.3560 0.5467 0.2249 Te
0.2888 0.1240 0.7855 Te
0.8740 0.5895 0.1530 Te
0.2177 0.7722 0.4936 Na
0.9775 0.0350 0.0070 Na
0.6709 0.8534 0.2594 Au
0.6615 0.3436 0.2400 Au
0.6225 0.4022 0.7712 Au
0.1012 0.3811 0.7290 Au
```

Summary:
- Total energy: -21.629 eV per formula unit
- Space-group type: P1, No. 1

# 6
Na3Te12Au5: relaxed, GGA-PBE.

Structure (POSCAR):
```
Na3Te12Au5
1.0
-14.2790 -3.4738 2.0967
8.5625 -9.5128 7.5196
2.4979 13.8049 4.8517
Te Au Na
48 20 12
direct
0.3323 0.7876 0.4202 Te
0.0447 0.6326 0.7124 Te
0.0447 0.4121 0.8323 Te
0.6677 0.4553 0.5879 Te
0.4121 0.0447 0.3323 Te
0.7876 0.3323 0.9202 Te
0.4121 0.3674 0.5798 Te
0.8323 0.9202 0.2876 Te
0.0879 0.1677 0.4553 Te
0.1677 0.0879 0.9553 Te
0.5447 0.2124 0.1326 Te
0.6326 0.0447 0.2124 Te
0.1326 0.7124 0.5447 Te
0.0798 0.9121 0.3674 Te
0.9202 0.8323 0.7876 Te
0.5798 0.8674 0.4121 Te
0.9553 0.5879 0.1677 Te
0.0879 0.9202 0.1326 Te
0.3674 0.9553 0.7876 Te
0.2124 0.5447 0.6326 Te
0.2876 0.8674 0.9553 Te
0.5879 0.9553 0.6677 Te
0.3674 0.4121 0.0798 Te
0.4553 0.7876 0.8674 Te
0.8674 0.5798 0.9121 Te
0.4553 0.6677 0.0879 Te
0.2876 0.4202 0.8323 Te
0.8674 0.2876 0.4553 Te
0.6326 0.5879 0.9202 Te
0.6677 0.2124 0.5798 Te
0.8323 0.9121 0.0447 Te
0.9121 0.0798 0.8674 Te
0.4202 0.1326 0.5879 Te
0.2124 0.6677 0.0798 Te
0.3323 0.5447 0.4121 Te
0.1677 0.0798 0.7124 Te
0.5879 0.6326 0.4202 Te
0.0798 0.1677 0.2124 Te
0.1326 0.4202 0.0879 Te
0.5798 0.7124 0.6677 Te
0.9121 0.8323 0.5447 Te
0.4202 0.2876 0.3323 Te
0.9553 0.3674 0.2876 Te
0.7124 0.1326 0.0447 Te
0.9202 0.0879 0.6326 Te
0.7876 0.4553 0.3674 Te
0.7124 0.5798 0.1677 Te
0.5447 0.3323 0.9121 Te
0.3750 0.2500 0.1250 Au
0.3750 0.1250 0.7500 Au
0.5000 0.5000 0.5000 Au
0.0000 0.0000 0.5000 Au
0.7500 0.1250 0.8750 Au
0.1250 0.7500 0.3750 Au
0.5000 0.0000 0.5000 Au
0.0000 0.0000 0.0000 Au
0.0000 0.5000 0.5000 Au
0.5000 0.5000 0.0000 Au
0.6250 0.7500 0.8750 Au
0.0000 0.5000 0.0000 Au
0.6250 0.8750 0.2500 Au
0.2500 0.8750 0.1250 Au
0.8750 0.2500 0.6250 Au
0.7500 0.6250 0.3750 Au
0.1250 0.3750 0.2500 Au
0.5000 0.0000 0.0000 Au
0.2500 0.3750 0.6250 Au
0.8750 0.6250 0.7500 Au
0.6250 0.3750 0.7500 Na
0.6250 0.2500 0.3750 Na
0.7500 0.8750 0.6250 Na
0.2500 0.1250 0.3750 Na
0.3750 0.7500 0.6250 Na
0.3750 0.6250 0.2500 Na
0.7500 0.3750 0.1250 Na
0.1250 0.8750 0.7500 Na
0.1250 0.2500 0.8750 Na
0.2500 0.6250 0.8750 Na
0.8750 0.7500 0.1250 Na
0.8750 0.1250 0.2500 Na
```

Summary:
- Total energy: -59.132 eV per formula unit
- Space-group type: Ia-3d, No. 230

# 7
NaTeAu4: relaxed, GGA-PBE.

Structure (POSCAR):
```
NaTeAu4
1.0
5.6519 0.0000 0.0000
2.8259 4.8947 0.0000
2.8259 1.6316 4.6148
Au Te Na
4 1 1
direct
0.6255 0.6255 0.6255 Au
0.1236 0.6255 0.6255 Au
0.6255 0.6255 0.1236 Au
0.6255 0.1236 0.6255 Au
0.2500 0.2500 0.2500 Te
0.0000 0.0000 0.0000 Na
```

Summary:
- Total energy: -18.536 eV per formula unit
- Space-group type: F-43m, No. 216

# 8
NaTe4Au: relaxed, GGA-PBE.

Structure (POSCAR):
```
NaTe4Au
1.0
4.6965 0.0000 0.0000
-2.3482 6.4031 0.8996
0.0000 -1.1457 12.2466
Te Na Au
8 2 2
direct
0.5201 0.5410 0.6699 Te
0.9791 0.4590 0.8301 Te
0.6949 0.8895 0.0578 Te
0.3051 0.1105 0.9422 Te
0.0209 0.5410 0.1699 Te
0.1946 0.8895 0.5578 Te
0.8054 0.1105 0.4422 Te
0.4799 0.4590 0.3301 Te
0.2505 0.0000 0.2500 Na
0.7495 0.0000 0.7500 Na
0.0000 0.5000 0.5000 Au
0.5000 0.5000 0.0000 Au
```

Summary:
- Energy above the lowest structure with this stoichiometry: 0.00 eV per formula unit
- Total energy: -18.238 eV per formula unit
- Space-group type: C2/m, No. 12

# 9
Na2Te3Au: relaxed, GGA-PBE.

Structure (POSCAR):
```
Na2Te3Au
1.0
6.5617 0.0000 0.0000
-3.2808 5.6826 0.0000
0.0000 0.0000 11.2278
Te Na Au
6 4 2
direct
0.3260 0.1630 0.7415 Te
0.1630 0.8370 0.2585 Te
0.6740 0.8370 0.2585 Te
0.8370 0.1630 0.7415 Te
0.8370 0.6740 0.7415 Te
0.1630 0.3260 0.2585 Te
0.0000 0.0000 0.0000 Na
0.3333 0.6667 0.8000 Na
0.0000 0.0000 0.5000 Na
0.6667 0.3333 0.2000 Na
0.6667 0.3333 0.9286 Au
0.3333 0.6667 0.0714 Au
```

Summary:
- Energy above the lowest structure with this stoichiometry: 1.42 eV per formula unit
- Total energy: -16.537 eV per formula unit
- Space-group type: P-3m1, No. 164

# 10
Na3TeAu: relaxed, GGA-PBE.

Structure (POSCAR):
```
Na3TeAu
1.0
-2.0426 -1.1798 5.3142
3.1498 -4.8855 0.1260
4.4398 2.9232 2.3555
Na Te Au
3 1 1
direct
0.0000 0.5000 0.0000 Na
0.5000 0.0000 0.0000 Na
0.0000 0.0000 0.5000 Na
0.0000 0.0000 0.0000 Te
0.5000 0.5000 0.5000 Au
```

Summary:
- Energy above the lowest structure with this stoichiometry: 0.59 eV per formula unit
- Total energy: -12.430 eV per formula unit
- Space-group type: Pm-3m, No. 221

# 11
Na2ThTe4Au2: relaxed, GGA-PBE.

Structure (POSCAR):
```
Na2ThTe4Au2
1.0
-0.3204 -2.8623 -3.3902
-4.9133 -4.8551 4.5634
-3.8264 6.8301 -2.4865
Te Au Na Th
4 2 2 1
direct
0.5075 0.7344 0.0149 Te
0.4925 0.2656 0.9851 Te
0.2122 0.2365 0.4243 Te
0.7878 0.7635 0.5757 Te
0.6774 0.0136 0.3548 Au
0.3226 0.9864 0.6452 Au
0.1314 0.5992 0.2628 Na
0.8686 0.4008 0.7372 Na
0.0000 0.0000 0.0000 Th
```

Summary:
- Total energy: -36.028 eV per formula unit
- Space-group type: C2/m, No. 12

# 12
Na4Th3Te8Au: relaxed, GGA-PBE.

Structure (POSCAR):
```
Na4Th3Te8Au
1.0
-2.7192 -0.9715 -8.4304
-1.1499 -8.9878 1.4067
-4.1560 5.9353 5.3662
Th Te Na Au
3 8 4 1
direct
0.0000 0.5000 0.5000 Th
0.5000 0.5000 0.5000 Th
0.5000 0.5000 0.0000 Th
0.7507 0.7291 0.9886 Te
0.7477 0.7460 0.4954 Te
0.2489 0.7391 0.4979 Te
0.7511 0.2609 0.5021 Te
0.2493 0.2709 0.0114 Te
0.2379 0.7291 0.9886 Te
0.7621 0.2709 0.0114 Te
0.2523 0.2540 0.5046 Te
0.5000 0.0000 0.0000 Na
0.0000 0.0000 0.0000 Na
0.5000 0.0000 0.5000 Na
0.0000 0.0000 0.5000 Na
0.0000 0.5000 0.0000 Au
```

Summary:
- Total energy: -71.264 eV per formula unit
- Space-group type: C2/m, No. 12

# 13
NaTiTe2Au: relaxed, GGA-PBE.

Structure (POSCAR):
```
NaTiTe2Au
1.0
-2.3303 -2.3821 3.9673
5.2100 1.5477 3.9896
-2.3203 4.4447 1.3058
Na Te Au Ti
1 2 1 1
direct
0.0000 0.5000 0.0000 Na
0.5000 0.0000 0.0000 Te
0.0000 0.0000 0.5000 Te
0.5000 0.5000 0.5000 Au
0.0000 0.0000 0.0000 Ti
```

Summary:
- Total energy: -17.716 eV per formula unit
- Space-group type: P4/mmm, No. 123

# 14
NaTiTe3Au: relaxed, GGA-PBE.

Structure (POSCAR):
```
NaTiTe3Au
1.0
-0.6967 0.4658 -3.9076
-5.0794 -6.4984 0.1309
-5.5275 8.3631 1.9825
Te Au Na Ti
6 2 2 2
direct
0.2500 0.0860 0.8733 Te
0.7500 0.2938 0.5544 Te
0.7500 0.4381 0.1238 Te
0.2500 0.5619 0.8762 Te
0.7500 0.9140 0.1267 Te
0.2500 0.7062 0.4456 Te
0.7500 0.9246 0.3932 Au
0.2500 0.0754 0.6068 Au
0.7500 0.7608 0.7168 Na
0.2500 0.2392 0.2832 Na
0.7500 0.3010 0.8239 Ti
0.2500 0.6990 0.1761 Ti
```

Summary:
- Total energy: -25.444 eV per formula unit
- Space-group type: P2_1/m, No. 11

# 15
NaTmTe2Au: relaxed, GGA-PBE.

Structure (POSCAR):
```
NaTmTe2Au
1.0
-1.8226 -1.2591 4.2309
-6.1370 -3.2069 -3.5980
4.5635 -6.5906 0.0046
Na Tm Te Au
2 2 4 2
direct
0.1111 0.5000 0.7500 Na
0.8889 0.5000 0.2500 Na
0.5023 0.0000 0.7500 Tm
0.4977 0.0000 0.2500 Tm
0.6494 0.7168 0.9728 Te
0.6494 0.2832 0.5272 Te
0.3506 0.7168 0.4728 Te
0.3506 0.2832 0.0272 Te
0.0000 0.0000 0.5000 Au
0.0000 0.0000 0.0000 Au
```

Summary:
- Total energy: -19.295 eV per formula unit
- Space-group type: P2/c, No. 13

# 16
NaUTe3Au: relaxed, GGA-PBE.

Structure (POSCAR):
```
NaUTe3Au
1.0
-1.4090 1.7470 -3.7060
-6.8710 -4.9319 0.2874
-2.3971 8.8595 5.0876
Te U Au Na
6 2 2 2
direct
0.7500 0.4158 0.1398 Te
0.7500 0.2812 0.5357 Te
0.7500 0.9304 0.1500 Te
0.2500 0.0696 0.8500 Te
0.2500 0.5842 0.8602 Te
0.2500 0.7188 0.4643 Te
0.2500 0.6837 0.1700 U
0.7500 0.3163 0.8300 U
0.2500 0.0964 0.5923 Au
0.7500 0.9036 0.4077 Au
0.7500 0.7735 0.7108 Na
0.2500 0.2265 0.2892 Na
```

Summary:
- Total energy: -28.926 eV per formula unit
- Space-group type: P2_1/m, No. 11

# 17
Na2UTe4Au: relaxed, GGA-PBE.

Structure (POSCAR):
```
Na2UTe4Au
1.0
7.2045 0.0000 0.0000
3.6023 5.5462 0.0000
3.6023 0.0000 5.5462
Te Au Na U
4 1 2 1
direct
0.9356 0.0000 0.5907 Te
0.5263 0.0000 0.4093 Te
0.0644 0.4093 0.0000 Te
0.4737 0.5907 0.0000 Te
0.5000 0.0000 0.0000 Au
0.0000 0.5000 0.5000 Na
0.5000 0.5000 0.5000 Na
0.0000 0.0000 0.0000 U
```

Summary:
- Total energy: -33.761 eV per formula unit
- Space-group type: I-42m, No. 121

# 18
Na3U2Te6Au: relaxed, GGA-PBE.

Structure (POSCAR):
```
Na3U2Te6Au
1.0
-7.2371 2.2182 -0.4804
2.5867 -3.0548 6.4424
3.4899 7.1425 0.4880
Te Na U Au
6 3 2 1
direct
0.4106 0.0771 0.2297 Te
0.2589 0.2589 0.7690 Te
0.0771 0.4106 0.2297 Te
0.9229 0.5894 0.7703 Te
0.7411 0.7411 0.2310 Te
0.5894 0.9229 0.7703 Te
0.8345 0.1655 0.5000 Na
0.5000 0.5000 0.5000 Na
0.1655 0.8345 0.5000 Na
0.3330 0.6670 0.0000 U
0.6670 0.3330 0.0000 U
0.0000 0.0000 0.0000 Au
```

Summary:
- Total energy: -56.384 eV per formula unit
- Space-group type: C2/m, No. 12

no.,calculated volume (Å³ per atom)
1,29.8
2,32.3
3,29.6
4,27.6
5,32.5
6,31.5
7,21.3
8,31.1
9,34.9
10,39.3
11,29.8
12,32.9
13,36.2
14,26.7
15,29.7
16,30.7
17,27.7
18,31.4